Entry 1:
A relaxed structure of CdHg2Pd2. Source: the Alexandria database, functional PBE.

Values from the calculation:
The total moment is 0.0 μB/f.u. The energy of formation is 0.051 eV per atom. The calculation puts the total DFT energy (no corrections) at -0.1712 Ry per atom.

Unit cell a=3.9665 b=3.9665 c=7.3352 alpha=74.31 beta=74.31 gamma=90.00
Last column: nearest neighbours and their distance in Å.
Positions (direct):
1 Hg 0.3947 0.3947 0.2107  4 Pd 2.79, 1 Hg 2.86
2 Hg 0.6053 0.6053 0.7893  4 Pd 2.79, 1 Hg 2.86
3 Pd 0.7500 0.2500 0.5000  4 Hg 2.79, 4 Pd 2.80
4 Pd 0.2500 0.7500 0.5000  4 Hg 2.79, 4 Pd 2.80
5 Cd 0.0000 0.0000 0.0000  8 Hg 3.15


Entry 2:
A relaxed structure of Cd3HgPd6. Source: the Alexandria database, functional PBE.

Values from the calculation:
The total moment is 0.0 μB/f.u. The energy of formation is -0.301 eV per atom. The calculation puts the total DFT energy (no corrections) at -0.2735 Ry per atom.

Unit cell a=4.6984 b=7.7977 c=9.9630 alpha=109.70 beta=90.00 gamma=90.00
Last column: nearest neighbours and their distance in Å.
Positions (direct):
1 Cd 0.2500 0.5333 0.4068  9 Pd 2.79-3.01
2 Cd 0.7500 0.4667 0.5932  9 Pd 2.79-3.01
3 Cd 0.2500 0.3456 0.8118  8 Pd 2.78-2.88, 1 Hg 3.10
4 Cd 0.7500 0.6544 0.1882  8 Pd 2.78-2.88, 1 Hg 3.10
5 Cd 0.2500 0.7540 0.0165  9 Pd 2.76-3.00
6 Cd 0.7500 0.2460 0.9835  9 Pd 2.76-3.00
7 Hg 0.2500 0.9394 0.6205  10 Pd 2.78-3.07, 1 Cd 3.10
8 Hg 0.7500 0.0606 0.3795  10 Pd 2.78-3.07, 1 Cd 3.10
9 Pd 0.2500 0.4410 0.1100  7 Cd 2.80-2.89, 5 Pd 2.83-3.12
10 Pd 0.7500 0.5590 0.8900  7 Cd 2.80-2.89, 5 Pd 2.83-3.12
11 Pd 0.2500 0.1430 0.2124  8 Pd 2.79-2.88, 2 Cd 3.00-3.01, 2 Hg 3.07
12 Pd 0.7500 0.8570 0.7876  8 Pd 2.79-2.88, 2 Cd 3.00-3.01, 2 Hg 3.07
13 Pd 0.2500 0.6436 0.7178  5 Cd 2.78-2.92, 1 Hg 2.79, 6 Pd 2.83-3.11
14 Pd 0.7500 0.3564 0.2822  5 Cd 2.78-2.92, 1 Hg 2.79, 6 Pd 2.83-3.11
15 Pd 0.2500 0.2420 0.5146  4 Cd 2.79-2.88, 3 Hg 2.84-2.89, 5 Pd 2.85-3.10
16 Pd 0.7500 0.7580 0.4854  4 Cd 2.79-2.88, 3 Hg 2.84-2.89, 5 Pd 2.85-3.10
17 Pd 0.2500 0.8422 0.3180  4 Cd 2.83-2.85, 3 Hg 2.84-2.85, 5 Pd 2.88-3.12
18 Pd 0.7500 0.1578 0.6820  4 Cd 2.83-2.85, 3 Hg 2.84-2.85, 5 Pd 2.88-3.12
19 Pd 0.2500 0.0435 0.9163  4 Cd 2.76-2.88, 1 Hg 2.78, 7 Pd 2.79-3.09
20 Pd 0.7500 0.9565 0.0837  4 Cd 2.76-2.88, 1 Hg 2.78, 7 Pd 2.79-3.09